The following is a DFT calculation (SCAN) of Rb2CdP2Se6 at its PBEsol-relaxed geometry.

The space group is P2_1/c (No. 14) and the conventional cell measures 6.615, 12.450 and 9.473 Å, with angles of 90.00, 125.86 and 90.00 degrees. The inequivalent atoms are Rb at (0.226, 0.180, 0.481), Cd at (0.500, 0.000, 0.000), P at (0.152, 0.541, 0.626), Se at (0.027, 0.074, 0.744), Se at (0.262, 0.683, 0.549) and Se at (0.461, 0.075, 0.265).

The calculation puts the uncorrected energy at -20.101 eV/atom. The volume is 632.2 Å³/cell. The calculation puts the energy relative to the elements, uncorrected at -0.722 eV/atom.